# 1
# KMnSb2, single point on PBEsol structure, DFT SCAN
data_KMnSb2
_chemical_formula_sum 'K4 Mn4 Sb8'
_symmetry_space_group_name_H-M 'F m -3 m'
_symmetry_Int_Tables_number 225
_symmetry_space_group_name_Hall '-F 4 2 3'
_cell_length_a 7.2998
_cell_length_b 7.2998
_cell_length_c 7.2998
_cell_angle_alpha 90.00
_cell_angle_beta 90.00
_cell_angle_gamma 90.00
loop_
_atom_site_label
_atom_site_type_symbol
_atom_site_fract_x
_atom_site_fract_y
_atom_site_fract_z
K1 K 0.0000 0.0000 0.0000
Mn1 Mn 0.0000 0.0000 0.5000
Sb1 Sb 0.2500 0.2500 0.2500
# Energy above the lowest structure with this stoichiometry: 0.3911 eV per atom
# Formation energy without anion corrections: 0.053 eV per atom

---

# 2
# AuSeS2, single point on PBEsol structure, DFT SCAN
data_AuSeS2
_chemical_formula_sum 'Au3 Se3 S6'
_symmetry_space_group_name_H-M 'R -3 m'
_symmetry_Int_Tables_number 166
_symmetry_space_group_name_Hall '-R 3 2"'
_cell_length_a 3.7161
_cell_length_b 3.7161
_cell_length_c 21.8171
_cell_angle_alpha 90.00
_cell_angle_beta 90.00
_cell_angle_gamma 120.00
loop_
_atom_site_label
_atom_site_type_symbol
_atom_site_fract_x
_atom_site_fract_y
_atom_site_fract_z
Au1 Au 0.0000 0.0000 0.0000
Se1 Se 0.0000 0.0000 0.5000
S1 S 0.0000 0.0000 0.3931
# Formation energy without anion corrections: 0.211 eV per atom

---

# 3
# CaScSi2, single point on PBEsol structure, DFT SCAN
data_CaScSi2
_chemical_formula_sum 'Ca1 Sc1 Si2'
_symmetry_space_group_name_H-M 'P 4 m m'
_symmetry_Int_Tables_number 99
_cell_length_a 3.8479
_cell_length_b 3.8479
_cell_length_c 5.8267
_cell_angle_alpha 90.00
_cell_angle_beta 90.00
_cell_angle_gamma 90.00
loop_
_symmetry_equiv_pos_as_xyz
'x,y,z'
'-y,x,z'
'-x,-y,z'
'y,-x,z'
'-x,y,z'
'y,x,z'
'x,-y,z'
'-y,-x,z'
loop_
_atom_site_label
_atom_site_type_symbol
_atom_site_fract_x
_atom_site_fract_y
_atom_site_fract_z
Ca1 Ca 0.0000 0.0000 0.0000
Sc1 Sc 0.5000 0.5000 0.3579
Si1 Si 0.0000 0.0000 0.4923
Si2 Si 0.5000 0.5000 0.7985
# Energy above the lowest structure with this stoichiometry: 0.4692 eV per atom
# Formation energy without anion corrections: 0.021 eV per atom

---

# 4
# Li3Fe3SiO8, single point on PBEsol structure, DFT SCAN
data_Li3Fe3SiO8
_chemical_formula_sum 'Li3 Fe3 Si1 O8'
_symmetry_space_group_name_H-M 'P 1 2/m 1'
_symmetry_Int_Tables_number 10
_cell_length_a 4.7632
_cell_length_b 5.5285
_cell_length_c 5.0342
_cell_angle_alpha 90.00
_cell_angle_beta 108.92
_cell_angle_gamma 90.00
loop_
_symmetry_equiv_pos_as_xyz
'x,y,z'
'-x,-y,-z'
'-x,y,-z'
'x,-y,z'
loop_
_atom_site_label
_atom_site_type_symbol
_atom_site_fract_x
_atom_site_fract_y
_atom_site_fract_z
Li1 Li 0.0000 0.0000 0.0000
Li2 Li 0.5000 0.2603 0.0000
Fe1 Fe 0.0000 0.2482 0.5000
Fe2 Fe 0.5000 0.0000 0.5000
Si1 Si 0.5000 0.5000 0.5000
O1 O 0.2444 0.0000 0.7260
O2 O 0.2606 0.5000 0.7053
O3 O 0.2736 0.2624 0.2900
# Formation energy without anion corrections: -2.094 eV per atom

---

Number 1: size of the total moment 16.189 μB per cell. Number 2: size of the total moment 0.000 μB per cell. Number 3: size of the total moment 0.000 μB per cell. Number 4: size of the total moment 3.000 μB per cell.